## PuSbTe (PBE)

Data for a geometry-optimized PuSbTe structure.

The structure in POSCAR format:
```
PuSbTe
1.0
-2.168 2.168 9.015
2.168 -2.168 9.015
2.168 2.168 -9.015
Pu Sb Te
2 2 2
Cartesian
0.000 0.000 2.488 Pu
0.000 0.000 15.542 Pu
2.168 0.000 0.000 Sb
0.000 2.168 0.000 Sb
0.000 0.000 5.712 Te
0.000 0.000 12.319 Te
```

Formation energy from raw total energies, meV/atom: -792
Volume, Å³/cell: 169.5
Energy, Ry/atom: -0.5873